The following is a GGA-PBE calculation of a relaxed structure of CoP2HS, from the Alexandria database.

```
data_CoP2HS
_cell_length_a 3.5251
_cell_length_b 3.5251
_cell_length_c 4.8560
_cell_angle_alpha 90.00
_cell_angle_beta 90.00
_cell_angle_gamma 90.00
_space_group_name_H-M_alt 'P 1'
_space_group_IT_number 1
loop_
_space_group_symop_operation_xyz
'x,y,z'
loop_
_atom_site_label
_atom_site_fract_x
_atom_site_fract_y
_atom_site_fract_z
Co1 0.5000 0.5000 0.5000
P1 0.5000 0.0000 0.0000
P2 0.0000 0.5000 0.0000
S1 0.0000 0.0000 0.5000
H1 0.0000 0.0000 0.0000
```

Results
The space group is No. 123. The crystal system is tetragonal.

---

The following is a GGA-PBE calculation of a relaxed structure of CoPHS2, from the Alexandria database.

```
data_CoPHS2
_cell_length_a 4.2965
_cell_length_b 4.2965
_cell_length_c 3.1994
_cell_angle_alpha 90.00
_cell_angle_beta 90.00
_cell_angle_gamma 90.00
_space_group_name_H-M_alt 'P 1'
_space_group_IT_number 1
loop_
_space_group_symop_operation_xyz
'x,y,z'
loop_
_atom_site_label
_atom_site_fract_x
_atom_site_fract_y
_atom_site_fract_z
P1 0.0000 0.0000 0.5000
S1 0.5000 0.0000 0.0000
S2 0.0000 0.5000 0.0000
Co1 0.5000 0.5000 0.5000
H1 0.0000 0.0000 0.0000
```

Results
The space group is No. 123. The crystal system is tetragonal.

---

The following energy values (in eV per atom) correspond, in order, to the records above: -4.297, -3.975.